This record from the Alexandria database describes crystalline VIr2O6 at its relaxed geometry. The functional is GGA+U.

Output
VASP energy (eV per atom): -7.1889
DOS at the Fermi energy (states/eV per cell): 23.18
V (Å³ per cell): 286.4

Cell lengths 4.4647, 8.6070, 8.6070 Å; angles 120.00, 90.00, 90.00 degrees
With the nearest neighbours (Å) after each atom.
Sites, in units of the cell vectors:
Ir  0.5000  0.0000  0.6755  6 O 2.00-2.03
Ir  0.0000  0.6571  0.6571  6 O 2.00-2.03
Ir  0.0000  0.3429  0.0000  6 O 2.00-2.03
Ir  0.0000  0.0000  0.3429  6 O 2.00-2.03
Ir  0.5000  0.6755  0.0000  6 O 2.00-2.03
Ir  0.5000  0.3245  0.3245  6 O 2.00-2.03
O  0.7520  0.5669  0.1170  1 V 1.95, 2 Ir 2.00-2.02
O  0.7520  0.8830  0.4499  1 V 1.95, 2 Ir 2.00-2.02
O  0.7360  0.5501  0.7669  1 V 1.94, 2 Ir 2.00-2.03
O  0.2395  0.1117  0.8939  1 V 1.94, 2 Ir 2.00-2.03
O  0.2640  0.4499  0.2167  1 V 1.94, 2 Ir 2.00-2.03
O  0.2640  0.7833  0.2331  1 V 1.94, 2 Ir 2.00-2.03
O  0.2480  0.4499  0.8830  1 V 1.95, 2 Ir 2.00-2.02
O  0.7605  0.8883  0.7822  1 V 1.94, 2 Ir 2.00-2.03
O  0.7360  0.2167  0.4499  1 V 1.94, 2 Ir 2.00-2.03
O  0.7520  0.5501  0.4331  1 V 1.95, 2 Ir 2.00-2.02
O  0.2395  0.7822  0.8883  1 V 1.94, 2 Ir 2.00-2.03
O  0.2480  0.1170  0.5669  1 V 1.95, 2 Ir 2.00-2.02
O  0.7605  0.8939  0.1117  1 V 1.94, 2 Ir 2.00-2.03
O  0.2640  0.7669  0.5501  1 V 1.94, 2 Ir 2.00-2.03
O  0.7360  0.2331  0.7833  1 V 1.94, 2 Ir 2.00-2.03
O  0.2480  0.4331  0.5501  1 V 1.95, 2 Ir 2.00-2.02
O  0.2395  0.1061  0.2178  1 V 1.94, 2 Ir 2.00-2.03
O  0.7605  0.2178  0.1061  1 V 1.94, 2 Ir 2.00-2.03
V  0.4950  0.3333  0.6667  6 O 1.94-1.95
V  0.0000  0.0000  0.0000  6 O 1.94
V  0.5050  0.6667  0.3333  6 O 1.94-1.95